## A
Below is a relaxed BaPrAg2 crystal, with properties calculated at the GGA-PBE level.

Cell and atoms, written as CIF:
```
data_BaPrAg2
_cell_length_a 6.234
_cell_length_b 5.013
_cell_length_c 7.865
_cell_angle_alpha 90.00
_cell_angle_beta 94.42
_cell_angle_gamma 90.00
_space_group_name_H-M_alt 'P 1 21/m 1'
_space_group_IT_number 11
_space_group_name_Hall '-P 2yb'
loop_
_atom_site_label
_atom_site_type_symbol
_atom_site_fract_x
_atom_site_fract_y
_atom_site_fract_z
Ba1 Ba 0.136 0.250 0.184
Pr1 Pr 0.370 0.250 0.671
Ag1 Ag 0.148 0.750 0.476
Ag2 Ag 0.387 0.750 0.950
```

***

## B
Below is a relaxed BaPrAg2 crystal, with properties calculated at the GGA-PBE level.

Cell and atoms, written as CIF:
```
data_BaPrAg2
_cell_length_a 5.014
_cell_length_b 8.006
_cell_length_c 6.155
_cell_angle_alpha 90.00
_cell_angle_beta 90.00
_cell_angle_gamma 90.00
_space_group_name_H-M_alt 'P m n 21'
_space_group_IT_number 31
_space_group_name_Hall 'P 2ac -2'
loop_
_atom_site_label
_atom_site_type_symbol
_atom_site_fract_x
_atom_site_fract_y
_atom_site_fract_z
Ba1 Ba 0.000 0.070 0.000
Pr1 Pr 0.000 0.566 0.778
Ag1 Ag 0.000 0.247 0.498
Ag2 Ag 0.000 0.680 0.274
```

***

Verdict on stability: B comes out on top.

***

## A
Below is a relaxed Ba2TcAgS6 crystal, with properties calculated at the GGA-PBE level.

Cell and atoms, written as CIF:
```
data_Ba2TcAgS6
_cell_length_a 7.1204
_cell_length_b 7.1204
_cell_length_c 16.1439
_cell_angle_alpha 90.00
_cell_angle_beta 90.00
_cell_angle_gamma 120.00
_space_group_name_H-M_alt 'R 3'
_space_group_IT_number 146
_space_group_name_Hall 'R 3'
loop_
_atom_site_label
_atom_site_type_symbol
_atom_site_fract_x
_atom_site_fract_y
_atom_site_fract_z
Ba1 Ba 0.0000 0.0000 0.0000
Ba2 Ba 0.0000 0.0000 0.4921
Tc1 Tc 0.0000 0.0000 0.7692
Ag1 Ag 0.0000 0.0000 0.2749
S1 S 0.0062 0.4562 0.4929
S2 S 0.1284 0.7476 0.3242
```

***

## B
Below is a relaxed Ba2TcAgS6 crystal, with properties calculated at the GGA-PBE level.

Cell and atoms, written as CIF:
```
data_Ba2TcAgS6
_cell_length_a 9.828
_cell_length_b 9.828
_cell_length_c 9.828
_cell_angle_alpha 90.00
_cell_angle_beta 90.00
_cell_angle_gamma 90.00
_space_group_name_H-M_alt 'F m -3 m'
_space_group_IT_number 225
_space_group_name_Hall '-F 4 2 3'
loop_
_atom_site_label
_atom_site_type_symbol
_atom_site_fract_x
_atom_site_fract_y
_atom_site_fract_z
Ba1 Ba 0.250 0.250 0.250
Tc1 Tc 0.000 0.000 0.000
Ag1 Ag 0.000 0.000 0.500
S1 S 0.000 0.000 0.242
```

***

Verdict on stability: A comes out on top.

***

## A
Below is a relaxed BaYAgSe3 crystal, with properties calculated at the GGA-PBE level.

Cell and atoms, written as CIF:
```
data_BaYAgSe3
_cell_length_a 9.842
_cell_length_b 4.320
_cell_length_c 15.723
_cell_angle_alpha 90.00
_cell_angle_beta 90.00
_cell_angle_gamma 90.00
_space_group_name_H-M_alt 'P n m a'
_space_group_IT_number 62
_space_group_name_Hall '-P 2ac 2n'
loop_
_atom_site_label
_atom_site_type_symbol
_atom_site_fract_x
_atom_site_fract_y
_atom_site_fract_z
Ba1 Ba 0.055 0.250 0.191
Y1 Y 0.186 0.750 0.461
Ag1 Ag 0.144 0.250 0.635
Se1 Se 0.011 0.250 0.400
Se2 Se 0.149 0.750 0.030
Se3 Se 0.201 0.250 0.797
```

***

## B
Below is a relaxed BaYAgSe3 crystal, with properties calculated at the GGA-PBE level.

Cell and atoms, written as CIF:
```
data_BaYAgSe3
_cell_length_a 4.279
_cell_length_b 14.278
_cell_length_c 10.770
_cell_angle_alpha 90.00
_cell_angle_beta 90.00
_cell_angle_gamma 90.00
_space_group_name_H-M_alt 'C m c m'
_space_group_IT_number 63
_space_group_name_Hall '-C 2c 2'
loop_
_atom_site_label
_atom_site_type_symbol
_atom_site_fract_x
_atom_site_fract_y
_atom_site_fract_z
Ba1 Ba 0.000 0.250 0.250
Y1 Y 0.000 0.000 0.000
Ag1 Ag 0.000 0.467 0.750
Se1 Se 0.000 0.079 0.750
Se2 Se 0.000 0.363 0.549
```

***

Verdict on stability: B comes out on top.

***

## A
Below is a relaxed Ba2SrAg2 crystal, with properties calculated at the GGA-PBE level.

Cell and atoms, written as CIF:
```
data_Ba2SrAg2
_cell_length_a 8.877
_cell_length_b 8.877
_cell_length_c 4.857
_cell_angle_alpha 90.00
_cell_angle_beta 90.00
_cell_angle_gamma 90.00
_space_group_name_H-M_alt 'P 4/m b m'
_space_group_IT_number 127
_space_group_name_Hall '-P 4 2ab'
loop_
_atom_site_label
_atom_site_type_symbol
_atom_site_fract_x
_atom_site_fract_y
_atom_site_fract_z
Ba1 Ba 0.168 0.332 0.000
Sr1 Sr 0.000 0.000 0.500
Ag1 Ag 0.122 0.622 0.500
```

***

## B
Below is a relaxed Ba2SrAg2 crystal, with properties calculated at the GGA-PBE level.

Cell and atoms, written as CIF:
```
data_Ba2SrAg2
_cell_length_a 5.702
_cell_length_b 5.702
_cell_length_c 12.785
_cell_angle_alpha 90.00
_cell_angle_beta 90.00
_cell_angle_gamma 90.00
_space_group_name_H-M_alt 'I 4/m m m'
_space_group_IT_number 139
_space_group_name_Hall '-I 4 2'
loop_
_atom_site_label
_atom_site_type_symbol
_atom_site_fract_x
_atom_site_fract_y
_atom_site_fract_z
Ba1 Ba 0.000 0.000 0.142
Sr1 Sr 0.000 0.000 0.500
Ag1 Ag 0.000 0.500 0.250
```

***

Verdict on stability: A comes out on top.